i.
# Ac2CePm

Ac2CePm after structural relaxation (PBE, the Alexandria database).

Computed properties:
- magnetization (μB per formula unit) = 1.60
- DOS at the Fermi energy (states/eV/cell) = 10.073
- crystal system = trigonal

Cell: 13.335 13.335 13.335 Å, 16.04 16.04 16.04°
Fractional coordinates of all 4 atoms:
Ac  0.088  0.088  0.088
Ac  0.912  0.912  0.912
Ce  0.000  0.000  0.000
Pm  0.500  0.500  0.500

***

ii.
# Ac2CePm

Ac2CePm after structural relaxation (PBE, the Alexandria database).

Computed properties:
- magnetization (μB per formula unit) = 1.23
- DOS at the Fermi energy (states/eV/cell) = 9.416
- crystal system = tetragonal

Cell: 3.794 3.794 10.554 Å, 90.00 90.00 90.00°
Fractional coordinates of all 4 atoms:
Ac  0.000  0.000  0.245
Ac  0.000  0.000  0.755
Ce  0.500  0.500  0.000
Pm  0.500  0.500  0.500

***

Which one sits at the bottom of the stability order? i does.

***

i.
# AcCe2Pr

AcCe2Pr after structural relaxation (PBE, the Alexandria database).

Computed properties:
- magnetization (μB per formula unit) = 1.89
- DOS at the Fermi energy (states/eV/cell) = 11.352
- crystal system = tetragonal

Cell: 5.122 5.122 5.217 Å, 90.00 90.00 90.00°
Fractional coordinates of all 4 atoms:
Ac  0.000  0.000  0.000
Ce  0.000  0.500  0.500
Ce  0.500  0.000  0.500
Pr  0.500  0.500  0.000

***

ii.
# AcCe2Pr

AcCe2Pr after structural relaxation (PBE, the Alexandria database).

Computed properties:
- magnetization (μB per formula unit) = 2.12
- DOS at the Fermi energy (states/eV/cell) = 12.048
- crystal system = tetragonal

Cell: 3.647 3.647 10.390 Å, 90.00 90.00 90.00°
Fractional coordinates of all 4 atoms:
Ac  0.000  0.000  0.000
Ce  0.500  0.500  0.256
Ce  0.500  0.500  0.744
Pr  0.000  0.000  0.500

***

Which one sits at the bottom of the stability order? ii does.

***

i.
# AcCe2Pr

AcCe2Pr after structural relaxation (PBE, the Alexandria database).

Computed properties:
- magnetization (μB per formula unit) = 4.36
- DOS at the Fermi energy (states/eV/cell) = 15.222
- crystal system = cubic

Cell: 5.893 5.893 5.893 Å, 60.00 60.00 60.00°
Fractional coordinates of all 4 atoms:
Ac  0.000  0.000  0.000
Ce  0.250  0.250  0.250
Ce  0.750  0.750  0.750
Pr  0.500  0.500  0.500

***

ii.
# AcCe2Pr

AcCe2Pr after structural relaxation (PBE, the Alexandria database).

Computed properties:
- magnetization (μB per formula unit) = 1.95
- DOS at the Fermi energy (states/eV/cell) = 12.414
- crystal system = trigonal

Cell: 12.975 12.975 12.975 Å, 15.78 15.78 15.78°
Fractional coordinates of all 4 atoms:
Ac  0.000  0.000  0.000
Ce  0.090  0.090  0.090
Ce  0.910  0.910  0.910
Pr  0.500  0.500  0.500

***

Which one sits at the bottom of the stability order? ii does.

***

i.
# AcCePr

AcCePr after structural relaxation (PBE, the Alexandria database).

Computed properties:
- magnetization (μB per formula unit) = 1.26
- DOS at the Fermi energy (states/eV/cell) = 7.946
- crystal system = hexagonal

Cell: 5.953 5.953 3.628 Å, 90.00 90.00 120.00°
Fractional coordinates of all 3 atoms:
Ac  0.000  0.000  0.000
Ce  0.333  0.667  0.000
Pr  0.667  0.333  0.500

***

ii.
# AcCePr

AcCePr after structural relaxation (PBE, the Alexandria database).

Computed properties:
- magnetization (μB per formula unit) = 0.23
- DOS at the Fermi energy (states/eV/cell) = 12.573
- crystal system = monoclinic

Cell: 3.741 3.741 15.366 Å, 90.01 90.01 91.06°
Fractional coordinates of all 6 atoms:
Ac  0.247  0.247  0.404
Ac  0.753  0.753  0.596
Ce  0.203  0.203  0.059
Ce  0.797  0.797  0.941
Pr  0.251  0.251  0.781
Pr  0.749  0.749  0.219

***

iii.
# AcCePr

AcCePr after structural relaxation (PBE, the Alexandria database).

Computed properties:
- magnetization (μB per formula unit) = 0.49
- DOS at the Fermi energy (states/eV/cell) = 6.633
- crystal system = tetragonal

Cell: 8.285 8.285 8.285 Å, 154.07 154.07 37.00°
Fractional coordinates of all 3 atoms:
Ac  0.000  0.000  0.000
Ce  0.662  0.662  0.000
Pr  0.314  0.314  0.000

***

Which one sits at the bottom of the stability order? i does.

***

i.
# AcCePt

AcCePt after structural relaxation (PBE, the Alexandria database).

Computed properties:
- magnetization (μB per formula unit) = 1.25
- DOS at the Fermi energy (states/eV/cell) = 32.065
- crystal system = monoclinic

Cell: 7.082 7.290 10.064 Å, 90.00 126.50 90.00°
Fractional coordinates of all 12 atoms:
Ac  0.165  0.086  0.397
Ac  0.165  0.414  0.897
Ac  0.835  0.586  0.103
Ac  0.835  0.914  0.603
Ce  0.352  0.578  0.602
Ce  0.352  0.922  0.102
Ce  0.648  0.078  0.898
Ce  0.648  0.422  0.398
Pt  0.348  0.729  0.342
Pt  0.348  0.771  0.842
Pt  0.652  0.229  0.158
Pt  0.652  0.271  0.658

***

ii.
# AcCePt

AcCePt after structural relaxation (PBE, the Alexandria database).

Computed properties:
- magnetization (μB per formula unit) = 1.57
- DOS at the Fermi energy (states/eV/cell) = 9.503
- crystal system = cubic

Cell: 5.134 5.134 5.134 Å, 60.00 60.00 60.00°
Fractional coordinates of all 3 atoms:
Ac  0.000  0.000  0.000
Ce  0.500  0.500  0.500
Pt  0.250  0.250  0.250

***

Which one sits at the bottom of the stability order? ii does.

***

i.
# AcCePt

AcCePt after structural relaxation (PBE, the Alexandria database).

Computed properties:
- magnetization (μB per formula unit) = 0.33
- DOS at the Fermi energy (states/eV/cell) = 10.568
- crystal system = monoclinic

Cell: 4.298 4.477 8.838 Å, 90.00 93.55 90.00°
Fractional coordinates of all 6 atoms:
Ac  0.235  0.250  0.353
Ac  0.765  0.750  0.647
Ce  0.301  0.750  0.012
Ce  0.699  0.250  0.988
Pt  0.253  0.250  0.727
Pt  0.747  0.750  0.273

***

ii.
# AcCePt

AcCePt after structural relaxation (PBE, the Alexandria database).

Computed properties:
- magnetization (μB per formula unit) = 1.04
- DOS at the Fermi energy (states/eV/cell) = 8.098
- crystal system = trigonal

Cell: 4.770 4.770 4.551 Å, 90.00 90.00 120.00°
Fractional coordinates of all 3 atoms:
Ac  0.000  0.000  0.000
Ce  0.333  0.667  0.460
Pt  0.667  0.333  0.631

***

Which one sits at the bottom of the stability order? ii does.